No. 1
Material: K2Tb2PaSe6
Method: DFT, PBE
State: optimized geometry

Cell lengths 7.256, 7.256, 8.232 Å; angles 98.56, 98.56, 119.91 degrees
Site moments in Bohr magnetons follow the coordinates.
Fractional coordinates of all 11 atoms:
Pa1 0.000 0.000 0.500  1.00
K1 0.168 0.832 0.000  0.00
Se1 0.067 0.398 0.702  -0.01
Tb1 0.333 0.667 0.500  0.02
Se2 0.602 0.933 0.298  -0.01
Se3 0.398 0.067 0.702  -0.01
Se4 0.933 0.602 0.298  -0.01
K2 0.832 0.168 0.000  0.00
Tb2 0.667 0.333 0.500  0.02
Se5 0.739 0.739 0.701  -0.01
Se6 0.261 0.261 0.299  -0.01

Output
Its symmetry is C2/m, No. 12. The calculation puts the total moment at 0.0967 μB/atom. The formation energy without anion corrections comes out at -1.66 eV/atom.

No. 2
Material: Sm8Te4PdS3
Method: DFT, PBE
State: optimized geometry

Cell lengths 8.415, 8.622, 8.416 Å; angles 119.22, 120.00, 90.00 degrees
Fractional coordinates of all 16 atoms:
S1 0.500 0.500 0.000
Sm1 0.735 0.715 0.975
Sm2 0.264 0.293 0.529
Sm3 0.736 0.707 0.471
Sm4 0.240 0.715 0.480
Te1 0.500 0.000 0.000
Te2 0.000 0.000 0.500
Sm5 0.265 0.285 0.025
S2 0.000 0.500 0.500
Sm6 0.240 0.715 0.975
Pd1 0.000 0.500 0.000
S3 0.500 0.500 0.500
Te3 0.000 0.000 0.000
Sm7 0.760 0.285 0.025
Sm8 0.760 0.285 0.520
Te4 0.500 0.000 0.500

Output
Its symmetry is R-3m, No. 166. The calculation puts the total moment at 0.0000 μB/atom. The formation energy without anion corrections comes out at -1.55 eV/atom.